The following is a PBE calculation of a relaxed RbAl4Zn9 crystal, from the Alexandria database.

a b c (Å): 9.0203 9.0203 12.2916
angles (deg): 90.00 90.00 90.00
Space group I4/mcm (No. 140)
Asymmetric unit:
Rb 0.0000 0.0000 0.2500 (multiplicity 4)
Al 0.1795 0.3205 0.1195 (multiplicity 16)
Zn 0.0000 0.5000 0.0000 (multiplicity 4)
Zn 0.0534 0.1998 0.5000 (multiplicity 16)
Zn 0.1191 0.3809 0.3244 (multiplicity 16)

Values from the calculation:
magnetization = 0.00 μB per formula unit
calculated total energy = -1.97 eV per atom